Here is a relaxed CuBiTeW crystal from OQMD. Energies are from PBE-GGA.

Summary:
Volume in Å³/f.u.: 81.57
E_tot in eV/atom: -5.150
ΔE to the lowest computed polymorph in meV per atom: 0
Total moment in μB/f.u.: 1.1

Structure (CIF):
```
data_CuBiTeW
_space_group_name_H-M_alt 'P 1'
_space_group_IT_number 1
_cell_length_a 4.868
_cell_length_b 4.868
_cell_length_c 4.868
_cell_angle_alpha 60.00
_cell_angle_beta 60.00
_cell_angle_gamma 60.00
loop_
_space_group_symop_operation_xyz
'x,y,z'
loop_
_atom_site_label
_atom_site_fract_x
_atom_site_fract_y
_atom_site_fract_z
Bi1 0.000 0.000 0.000
Cu1 0.750 0.750 0.750
Te1 0.500 0.500 0.500
W1 0.250 0.250 0.250
```